A plane-wave DFT calculation with PBE was carried out for an optimized crystal structure of PmHfP.

Properties
Formation enthalpy at 0 K (meV per atom): -840
Energy (eV per atom): -7.54
Symmetry: Pmmn (59)

```
PmHfP
1.0
5.1092 0.0000 0.0000
0.0000 7.4827 1.8353
0.0000 -1.7898 7.2968
Hf P Pm
4 4 4
direct
0.2500 0.3750 0.1049 Hf
0.7500 0.1250 0.8951 Hf
0.7500 0.6250 0.8951 Hf
0.2500 0.8750 0.1049 Hf
0.2500 0.1250 0.8803 P
0.7500 0.3750 0.1197 P
0.7500 0.8750 0.1197 P
0.2500 0.6250 0.8803 P
0.2500 0.8750 0.6127 Pm
0.7500 0.6250 0.3873 Pm
0.7500 0.1250 0.3873 Pm
0.2500 0.3750 0.6127 Pm
```